# 1
Here is Li2FeC at its PBEsol-relaxed geometry from Alexandria. Energies are from meta-GGA SCAN.

Computed properties:
N(E_F) ... 0.318 states/eV/atom
Space group ... I-42d
Calculated volume ... 70.1 Å³/cell
Formation energy from the elements ... 0.62 eV per atom
Crystal system ... tetragonal

Unit cell a=2.911 b=2.911 c=8.529 alpha=99.82 beta=99.82 gamma=90.00
Atoms (fractional coordinates):
C 0.750 0.250 0.500
C 0.500 0.500 0.000
Fe 0.250 0.750 0.500
Fe 0.000 0.000 0.000
Li 0.407 0.875 0.250
Li 0.843 0.375 0.250
Li 0.125 0.157 0.750
Li 0.625 0.593 0.750

# 2
Here is Li2FeSiCO7 at its PBEsol-relaxed geometry from Alexandria. Energies are from meta-GGA SCAN.

Computed properties:
Raw total energy ... -9.273 eV per atom
Space group ... P2_1/m
Calculated volume ... 264.3 Å³/cell
Crystal system ... monoclinic

Unit cell a=5.128 b=6.105 c=8.453 alpha=90.00 beta=92.60 gamma=90.00
Atoms (fractional coordinates):
Li 0.720 0.524 0.786
Li 0.720 0.976 0.786
Li 0.280 0.476 0.214
Li 0.280 0.024 0.214
Fe 0.291 0.750 0.653
Fe 0.709 0.250 0.347
Si 0.206 0.250 0.561
Si 0.794 0.750 0.439
C 0.227 0.750 0.949
C 0.773 0.250 0.051
O 0.779 0.250 0.901
O 0.221 0.750 0.099
O 0.449 0.750 0.877
O 0.551 0.250 0.123
O 0.022 0.750 0.854
O 0.978 0.250 0.146
O 0.674 0.750 0.612
O 0.326 0.250 0.388
O 0.884 0.250 0.537
O 0.116 0.750 0.463
O 0.302 0.042 0.671
O 0.302 0.458 0.671
O 0.698 0.542 0.329
O 0.698 0.958 0.329

# 3
Here is LiFe2WC at its PBEsol-relaxed geometry from Alexandria. Energies are from meta-GGA SCAN.

Computed properties:
N(E_F) ... 1.174 states/eV/atom
Space group ... P4/mmm
Calculated volume ... 84.8 Å³/cell
Formation energy from the elements ... 1.51 eV per atom
Crystal system ... tetragonal

Unit cell a=4.045 b=4.578 c=4.578 alpha=90.00 beta=90.00 gamma=90.00
Atoms (fractional coordinates):
C 0.500 0.000 0.000
Fe 0.000 0.000 0.500
Fe 0.000 0.500 0.000
W 0.000 0.000 0.000
Li 0.500 0.500 0.500

# 4
Here is LuTiFe11C at its PBEsol-relaxed geometry from Alexandria. Energies are from meta-GGA SCAN.

Computed properties:
N(E_F) ... 0.486 states/eV/atom
Space group ... Imm2
Calculated volume ... 163.1 Å³/cell
Formation energy from the elements ... -0.10 eV per atom
Crystal system ... orthorhombic

Unit cell a=4.678 b=6.351 c=6.351 alpha=82.55 beta=68.39 gamma=68.39
Atoms (fractional coordinates):
Lu 0.992 0.008 0.008
Ti 0.368 0.632 0.632
Fe 0.275 0.225 0.225
Fe 0.723 0.777 0.777
Fe 0.502 0.778 0.218
Fe 0.502 0.218 0.778
Fe 0.998 0.500 0.003
Fe 0.499 0.500 0.003
Fe 0.998 0.003 0.500
Fe 0.499 0.003 0.500
Fe 0.647 0.353 0.353
Fe 0.000 0.357 0.644
Fe 0.000 0.644 0.357
C 0.499 0.001 0.001

# 5
Here is MgFeC2O6 at its PBEsol-relaxed geometry from Alexandria. Energies are from meta-GGA SCAN.

Computed properties:
Raw total energy ... -9.894 eV per atom
N(E_F) ... 0.000 states/eV/atom
Space group ... R-3
Calculated volume ... 93.7 Å³/cell
Crystal system ... trigonal

Unit cell a=4.665 b=4.665 c=5.655 alpha=65.64 beta=65.64 gamma=60.00
Atoms (fractional coordinates):
C 0.250 0.250 0.249
C 0.750 0.750 0.751
Mg 0.000 0.000 0.000
O 0.247 0.975 0.249
O 0.529 0.247 0.249
O 0.975 0.529 0.249
O 0.471 0.753 0.751
O 0.025 0.471 0.751
O 0.753 0.025 0.751
Fe 0.500 0.500 0.500

# 6
Here is MgFe2PdC at its PBEsol-relaxed geometry from Alexandria. Energies are from meta-GGA SCAN.

Computed properties:
N(E_F) ... 0.646 states/eV/atom
Space group ... P4/mmm
Calculated volume ... 84.9 Å³/cell
Formation energy from the elements ... 1.15 eV per atom
Crystal system ... tetragonal

Unit cell a=3.762 b=4.750 c=4.750 alpha=90.00 beta=90.00 gamma=90.00
Atoms (fractional coordinates):
C 0.500 0.000 0.000
Mg 0.500 0.500 0.500
Fe 0.000 0.000 0.500
Fe 0.000 0.500 0.000
Pd 0.000 0.000 0.000

# 7
Here is Mn5Fe5C4 at its PBEsol-relaxed geometry from Alexandria. Energies are from meta-GGA SCAN.

Computed properties:
N(E_F) ... 0.685 states/eV/atom
Space group ... P1
Calculated volume ... 121.8 Å³/cell
Formation energy from the elements ... 0.06 eV per atom
Crystal system ... triclinic

Unit cell a=4.414 b=4.889 c=6.120 alpha=97.00 beta=111.55 gamma=90.01
Atoms (fractional coordinates):
Mn 0.621 0.303 0.431
Mn 0.811 0.804 0.434
Mn 0.382 0.696 0.569
Mn 0.431 0.250 0.001
Mn 0.568 0.751 0.000
Fe 0.809 0.080 0.798
Fe 0.011 0.419 0.201
Fe 0.190 0.920 0.200
Fe 0.986 0.581 0.798
Fe 0.194 0.197 0.571
C 0.580 0.420 0.780
C 0.801 0.078 0.223
C 0.420 0.579 0.220
C 0.196 0.922 0.774

# 8
Here is Mn4FeC2 at its PBEsol-relaxed geometry from Alexandria. Energies are from meta-GGA SCAN.

Computed properties:
N(E_F) ... 0.691 states/eV/atom
Space group ... C2
Calculated volume ... 121.0 Å³/cell
Formation energy from the elements ... 0.01 eV per atom
Crystal system ... monoclinic

Unit cell a=4.409 b=4.853 c=6.112 alpha=96.81 beta=111.14 gamma=90.00
Atoms (fractional coordinates):
Mn 0.817 0.054 0.436
Mn 0.381 0.946 0.564
Mn 0.413 0.500 0.000
Mn 0.579 0.000 0.000
Mn 0.814 0.329 0.808
Mn 0.006 0.671 0.192
Mn 0.181 0.169 0.192
Mn 0.989 0.831 0.808
Fe 0.195 0.449 0.568
Fe 0.627 0.551 0.432
C 0.572 0.667 0.775
C 0.798 0.333 0.225
C 0.430 0.831 0.232
C 0.198 0.169 0.768

# 9
Here is Mn3Fe9C4 at its PBEsol-relaxed geometry from Alexandria. Energies are from meta-GGA SCAN.

Computed properties:
N(E_F) ... 0.610 states/eV/atom
Space group ... P1
Calculated volume ... 141.3 Å³/cell
Formation energy from the elements ... 0.11 eV per atom
Crystal system ... triclinic

Unit cell a=4.375 b=4.892 c=6.601 alpha=89.98 beta=89.56 gamma=90.02
Atoms (fractional coordinates):
Mn 0.340 0.683 0.064
Mn 0.157 0.182 0.438
Mn 0.655 0.319 0.564
Fe 0.844 0.819 0.933
Fe 0.673 0.314 0.932
Fe 0.827 0.815 0.566
Fe 0.328 0.683 0.431
Fe 0.171 0.184 0.070
Fe 0.841 0.536 0.250
Fe 0.657 0.035 0.249
Fe 0.160 0.464 0.751
Fe 0.343 0.965 0.750
C 0.062 0.881 0.247
C 0.437 0.382 0.254
C 0.939 0.118 0.742
C 0.564 0.619 0.758

# 10
Here is Fe2Mo4C at its PBEsol-relaxed geometry from Alexandria. Energies are from meta-GGA SCAN.

Computed properties:
N(E_F) ... 0.635 states/eV/atom
Space group ... Fd-3m
Calculated volume ... 348.4 Å³/cell
Formation energy from the elements ... 0.10 eV per atom
Crystal system ... cubic

Unit cell a=7.898 b=7.898 c=7.898 alpha=60.00 beta=60.00 gamma=60.00
Atoms (fractional coordinates):
Fe 0.330 0.330 0.330
Fe 0.240 0.920 0.920
Fe 0.920 0.920 0.920
Fe 0.330 0.010 0.330
Fe 0.920 0.920 0.240
Fe 0.330 0.330 0.010
Fe 0.920 0.240 0.920
Fe 0.010 0.330 0.330
Mo 0.125 0.625 0.125
Mo 0.690 0.690 0.310
Mo 0.690 0.310 0.690
Mo 0.940 0.940 0.560
Mo 0.310 0.690 0.690
Mo 0.560 0.560 0.940
Mo 0.940 0.560 0.940
Mo 0.690 0.310 0.310
Mo 0.560 0.940 0.560
Mo 0.625 0.125 0.125
Mo 0.310 0.690 0.310
Mo 0.310 0.310 0.690
Mo 0.125 0.125 0.625
Mo 0.940 0.560 0.560
Mo 0.560 0.940 0.940
Mo 0.125 0.125 0.125
C 0.625 0.625 0.625
C 0.125 0.625 0.625
C 0.625 0.125 0.625
C 0.625 0.625 0.125